Record 1
This record from the Alexandria database describes a relaxed CaAl2Si2O10 crystal. The functional is PBE-GGA.

As for the relative energy among the computed polymorphs: 0.0 kJ per mole of atoms. The calculation puts the raw formation energy at -2.31 eV per atom. Its total energy is -104.63 eV/f.u.

It has space group Cmcm (No. 63), with a = 6.228 Å, b = 7.957 Å, c = 13.204 Å, α = 90.00°, β = 90.00° and γ = 90.00°. The inequivalent atoms are Ca at (0.000, 0.141, 0.250), Al at (0.250, 0.250, 0.000), Si at (0.000, 0.470, 0.635), O at (0.000, 0.078, 0.528), O at (0.000, 0.151, 0.750), O at (0.000, 0.363, 0.059), O at (0.000, 0.444, 0.250) and O at (0.215, 0.358, 0.621).

=====

Record 2
This record from the Alexandria database describes a relaxed BaSrSi2 crystal. The functional is PBE-GGA.

As for the relative energy among the computed polymorphs: 35.7 kJ per mole of atoms. The calculation puts the raw formation energy at -0.07 eV per atom. Its total energy is -14.72 eV/f.u.

It has space group P4/mmm (No. 123), with a = 3.577 Å, b = 3.577 Å, c = 9.032 Å, α = 90.00°, β = 90.00° and γ = 90.00°. The inequivalent atoms are Ba at (0.000, 0.000, 0.000), Sr at (0.000, 0.000, 0.500) and Si at (0.500, 0.500, 0.260).

=====

Record 3
This record from the Alexandria database describes a relaxed AcHoSc2 crystal. The functional is PBE-GGA.

As for the relative energy among the computed polymorphs: 1.3 kJ per mole of atoms. Its formation energy is 0.11 eV/atom. Its total energy is -20.93 eV/f.u.

It has space group Fm-3m (No. 225), with a = 7.881 Å, b = 7.881 Å, c = 7.881 Å, α = 90.00°, β = 90.00° and γ = 90.00°. The inequivalent atoms are Ac at (0.000, 0.000, 0.000), Ho at (0.000, 0.000, 0.500) and Sc at (0.250, 0.250, 0.250).

=====

Record 4
This record from the Alexandria database describes a relaxed TbCuSe crystal. The functional is PBE-GGA.

The calculation puts the raw formation energy at -1.00 eV per atom. Its total energy is -15.22 eV/f.u.

It has space group C2/m (No. 12), with a = 5.452 Å, b = 5.450 Å, c = 8.540 Å, α = 90.00°, β = 90.49° and γ = 90.00°. The inequivalent atoms are Tb at (0.247, 0.000, 0.264), Cu at (0.241, 0.500, 0.054) and Se at (0.248, 0.500, 0.358).

=====

Record 5
This record from the Alexandria database describes a relaxed TbUTl2S4 crystal. The functional is PBE-GGA.

The calculation puts the raw formation energy at -1.23 eV per atom. Its total energy is -47.03 eV/f.u.

It has space group P2/m (No. 10), with a = 6.996 Å, b = 4.047 Å, c = 7.932 Å, α = 90.00°, β = 107.16° and γ = 90.00°. The inequivalent atoms are Tb at (0.000, 0.000, 0.000), U at (0.500, 0.500, 0.000), Tl at (0.000, 0.500, 0.500), Tl at (0.500, 0.000, 0.500), S at (0.233, 0.500, 0.197) and S at (0.270, 0.000, 0.804).

=====

Record 6
This record from the Alexandria database describes a relaxed Mn2FePd8 crystal. The functional is PBE-GGA.

As for the relative energy among the computed polymorphs: 6.2 kJ per mole of atoms. Its formation energy is -0.09 eV/atom. Its total energy is -69.36 eV/f.u.

It has space group Immm (No. 71), with a = 4.162 Å, b = 6.938 Å, c = 11.756 Å, α = 90.00°, β = 90.00° and γ = 90.00°. The inequivalent atoms are Mn at (0.000, 0.000, 0.197), Fe at (0.000, 0.000, 0.500), Pd at (0.000, 0.195, 0.000), Pd at (0.000, 0.281, 0.346) and Pd at (0.000, 0.500, 0.146).

=====

Record 7
This record from the Alexandria database describes a relaxed Pm4TlCd5 crystal. The functional is PBE-GGA.

Its formation energy is -0.27 eV/atom. Its total energy is -28.64 eV/f.u.

It has space group P4/mmm (No. 123), with a = 3.887 Å, b = 3.887 Å, c = 18.276 Å, α = 90.00°, β = 90.00° and γ = 90.00°. The inequivalent atoms are Pm at (0.000, 0.000, 0.103), Pm at (0.000, 0.000, 0.307), Tl at (0.000, 0.000, 0.500), Cd at (0.500, 0.500, 0.000), Cd at (0.500, 0.500, 0.204) and Cd at (0.500, 0.500, 0.407).

=====

Record 8
This record from the Alexandria database describes a relaxed MgSbTe2N crystal. The functional is PBE-GGA.

As for the relative energy among the computed polymorphs: 6.9 kJ per mole of atoms. The calculation puts the raw formation energy at 0.55 eV per atom. Its total energy is -17.57 eV/f.u.

It has space group P4/mmm (No. 123), with a = 5.656 Å, b = 5.656 Å, c = 3.973 Å, α = 90.00°, β = 90.00° and γ = 90.00°. The inequivalent atoms are Mg at (0.000, 0.000, 0.000), Sb at (0.500, 0.500, 0.500), Te at (0.000, 0.500, 0.000) and N at (0.000, 0.000, 0.500).

=====

Record 9
This record from the Alexandria database describes a relaxed NaP2PbO6 crystal. The functional is PBE-GGA.

The calculation puts the raw formation energy at -1.73 eV per atom. Its total energy is -62.87 eV/f.u.

It has space group R-3 (No. 148, hexagonal axes), with a = 5.5720 Å, b = 5.5720 Å, c = 17.7410 Å, α = 90.00°, β = 90.00° and γ = 120.00°. The inequivalent atoms are Na at (0.0000, 0.0000, 0.0000), P at (0.0000, 0.0000, 0.2661), Pb at (0.0000, 0.0000, 0.5000) and O at (0.0150, 0.2772, 0.7481).

=====

Record 10
This record from the Alexandria database describes a relaxed Na2InC crystal. The functional is PBE-GGA.

As for the relative energy among the computed polymorphs: 0.0 kJ per mole of atoms. Its formation energy is 1.19 eV/atom. Its total energy is -9.85 eV/f.u.

It has space group Fm-3m (No. 225), with a = 6.863 Å, b = 6.863 Å, c = 6.863 Å, α = 90.00°, β = 90.00° and γ = 90.00°. The inequivalent atoms are Na at (0.250, 0.250, 0.250), In at (0.000, 0.000, 0.000) and C at (0.000, 0.000, 0.500).

=====

Record 11
This record from the Alexandria database describes a relaxed NaHfAl crystal. The functional is PBE-GGA.

As for the relative energy among the computed polymorphs: 54.6 kJ per mole of atoms. Its formation energy is 0.55 eV/atom. Its total energy is -13.38 eV/f.u.

It has space group Cmcm (No. 63), with a = 4.898 Å, b = 8.472 Å, c = 5.984 Å, α = 90.00°, β = 90.00° and γ = 90.00°. The inequivalent atoms are Na at (0.000, 0.167, 0.250), Hf at (0.000, 0.166, 0.750) and Al at (0.000, 0.500, 0.000).

=====

Record 12
This record from the Alexandria database describes a relaxed Sc3IrC crystal. The functional is PBE-GGA.

As for the relative energy among the computed polymorphs: 136.5 kJ per mole of atoms. Its formation energy is 0.89 eV/atom. Its total energy is -32.64 eV/f.u.

It has space group Pm-3m (No. 221), with a = 4.956 Å, b = 4.956 Å, c = 4.956 Å, α = 90.00°, β = 90.00° and γ = 90.00°. The inequivalent atoms are Sc at (0.000, 0.000, 0.500), Ir at (0.000, 0.000, 0.000) and C at (0.500, 0.500, 0.500).